[1]
# Ga2HgGePb (SCAN, single point on PBEsol structure)
data_Ga2HgGePb
_chemical_formula_sum 'Ga2 Hg1 Ge1 Pb1'
_cell_length_a 4.975
_cell_length_b 4.975
_cell_length_c 5.720
_cell_angle_alpha 90.00
_cell_angle_beta 90.00
_cell_angle_gamma 90.00
_space_group_name_H-M_alt 'P 1'
_space_group_IT_number 1
_space_group_name_Hall 'P 1'
loop_
_atom_site_label
_atom_site_fract_x
_atom_site_fract_y
_atom_site_fract_z
Ga1 0.000 0.500 0.000
Ga2 0.500 0.000 0.000
Hg1 0.000 0.000 0.000
Ge1 0.500 0.500 0.500
Pb1 0.000 0.000 0.500
# Energy of formation in kJ per mole of atoms: 66.1
# Total moment in μB/cell: 0.0



[2]
# GaGeI2O (SCAN, single point on PBEsol structure)
data_GaGeI2O
_chemical_formula_sum 'Ga1 Ge1 I2 O1'
_cell_length_a 5.689
_cell_length_b 5.689
_cell_length_c 3.606
_cell_angle_alpha 90.00
_cell_angle_beta 90.00
_cell_angle_gamma 90.00
_space_group_name_H-M_alt 'P 1'
_space_group_IT_number 1
_space_group_name_Hall 'P 1'
loop_
_atom_site_label
_atom_site_fract_x
_atom_site_fract_y
_atom_site_fract_z
Ga1 0.000 0.000 0.000
Ge1 0.500 0.500 0.500
I1 0.000 0.500 0.000
I2 0.500 0.000 0.000
O1 0.000 0.000 0.500
# Formation energy from raw total energies in eV per atom: -0.2098
# Total moment in μB/cell: 0.0



[3]
# GaGePt2I (SCAN, single point on PBEsol structure)
data_GaGePt2I
_chemical_formula_sum 'Ga1 Ge1 Pt2 I1'
_cell_length_a 4.681
_cell_length_b 4.681
_cell_length_c 5.141
_cell_angle_alpha 90.00
_cell_angle_beta 90.00
_cell_angle_gamma 90.00
_space_group_name_H-M_alt 'P 1'
_space_group_IT_number 1
_space_group_name_Hall 'P 1'
loop_
_atom_site_label
_atom_site_fract_x
_atom_site_fract_y
_atom_site_fract_z
Ga1 0.000 0.000 0.000
Ge1 0.000 0.000 0.500
Pt1 0.000 0.500 0.500
Pt2 0.500 0.000 0.500
I1 0.500 0.500 0.000
# Formation energy from raw total energies in eV per atom: 0.5144
# Total moment in μB/cell: 0.0



[4]
# Ga2GeSI (SCAN, single point on PBEsol structure)
data_Ga2GeSI
_chemical_formula_sum 'Ga2 Ge1 S1 I1'
_cell_length_a 5.599
_cell_length_b 5.599
_cell_length_c 5.000
_cell_angle_alpha 90.00
_cell_angle_beta 90.00
_cell_angle_gamma 90.00
_space_group_name_H-M_alt 'P 1'
_space_group_IT_number 1
_space_group_name_Hall 'P 1'
loop_
_atom_site_label
_atom_site_fract_x
_atom_site_fract_y
_atom_site_fract_z
Ga1 0.000 0.500 0.000
Ga2 0.500 0.000 0.000
Ge1 0.000 0.000 0.500
S1 0.500 0.500 0.500
I1 0.500 0.500 0.000
# Formation energy from raw total energies in eV per atom: 1.0572
# Total moment in μB/cell: 0.0



[5]
# GaGeTe2I (SCAN, single point on PBEsol structure)
data_GaGeTe2I
_chemical_formula_sum 'Ga1 Ge1 Te2 I1'
_cell_length_a 5.293
_cell_length_b 5.293
_cell_length_c 5.426
_cell_angle_alpha 90.00
_cell_angle_beta 90.00
_cell_angle_gamma 90.00
_space_group_name_H-M_alt 'P 1'
_space_group_IT_number 1
_space_group_name_Hall 'P 1'
loop_
_atom_site_label
_atom_site_fract_x
_atom_site_fract_y
_atom_site_fract_z
Ga1 0.000 0.000 0.000
Ge1 0.500 0.500 0.500
Te1 0.000 0.500 0.000
Te2 0.500 0.000 0.000
I1 0.000 0.000 0.500
# Formation energy from raw total energies in eV per atom: 0.5123
# Total moment in μB/cell: 0.0



[6]
# InGaGe3 (SCAN, single point on PBEsol structure)
data_InGaGe3
_chemical_formula_sum 'In1 Ga1 Ge3'
_cell_length_a 4.879
_cell_length_b 4.879
_cell_length_c 4.879
_cell_angle_alpha 90.00
_cell_angle_beta 90.00
_cell_angle_gamma 90.00
_space_group_name_H-M_alt 'P 1'
_space_group_IT_number 1
_space_group_name_Hall 'P 1'
loop_
_atom_site_label
_atom_site_fract_x
_atom_site_fract_y
_atom_site_fract_z
In1 0.000 0.000 0.000
Ga1 0.500 0.500 0.500
Ge1 0.000 0.500 0.500
Ge2 0.500 0.000 0.500
Ge3 0.500 0.500 0.000
# Energy of formation in kJ per mole of atoms: 60.6
# Total moment in μB/cell: 0.0



[7]
# GaGeIr2Pt (SCAN, single point on PBEsol structure)
data_GaGeIr2Pt
_chemical_formula_sum 'Ga1 Ge1 Ir2 Pt1'
_cell_length_a 4.536
_cell_length_b 4.536
_cell_length_c 4.533
_cell_angle_alpha 90.00
_cell_angle_beta 90.00
_cell_angle_gamma 90.00
_space_group_name_H-M_alt 'P 1'
_space_group_IT_number 1
_space_group_name_Hall 'P 1'
loop_
_atom_site_label
_atom_site_fract_x
_atom_site_fract_y
_atom_site_fract_z
Ga1 0.000 0.000 0.000
Ge1 0.500 0.500 0.500
Ir1 0.000 0.500 0.000
Ir2 0.500 0.000 0.000
Pt1 0.000 0.000 0.500
# Energy of formation in kJ per mole of atoms: 115.7
# Total moment in μB/cell: 0.0



[8]
# GaGeIrRh2 (SCAN, single point on PBEsol structure)
data_GaGeIrRh2
_chemical_formula_sum 'Ga1 Ge1 Ir1 Rh2'
_cell_length_a 4.384
_cell_length_b 4.384
_cell_length_c 4.513
_cell_angle_alpha 90.00
_cell_angle_beta 90.00
_cell_angle_gamma 90.00
_space_group_name_H-M_alt 'P 1'
_space_group_IT_number 1
_space_group_name_Hall 'P 1'
loop_
_atom_site_label
_atom_site_fract_x
_atom_site_fract_y
_atom_site_fract_z
Ga1 0.000 0.000 0.000
Ge1 0.000 0.000 0.500
Ir1 0.500 0.500 0.000
Rh1 0.000 0.500 0.500
Rh2 0.500 0.000 0.500
# Energy of formation in kJ per mole of atoms: 104.7
# Total moment in μB/cell: 0.0